Material: HfBeSnOs
Method: DFT, GGA-PBE
State: relaxed

a = 6.378 Å, b = 6.378 Å, c = 6.378 Å
α = 90.00°, β = 90.00°, γ = 90.00°
Space group F-43m (No. 216)
Asymmetric unit:
Hf1 0.000 0.000 0.000 [4 per cell]
Be1 0.250 0.250 0.750 [4 per cell]
Sn1 0.250 0.250 0.250 [4 per cell]
Os1 0.000 0.000 0.500 [4 per cell]

Values from the calculation:
V: 259.5 Å³ per cell
size of the total moment: 0.00 μB per formula unit
density: 12.7 g/cm3
E_tot: -0.26070 hartree per atom
offset from the most stable computed form: 0.2115 eV per atom